Density functional theory data (PBE) for a relaxed DyV4 crystal.

Lattice parameters (Å, degrees): 4.6791 4.6791 4.6791 90.00 90.00 90.00
Site moments in Bohr magnetons follow the coordinates.
Fractional positions:
V: 0.0000 0.0000 0.0000  2.49
V: 0.5000 0.0000 0.5000  -1.09
V: 0.0000 0.5000 0.5000  -1.09
V: 0.5000 0.5000 0.0000  -1.09
Dy: 0.5000 0.5000 0.5000  -0.27

Results
Raw total energy (eV per atom): -6.1574
Space group: Pm-3m, No. 221
Energy of formation (kJ/mol of formula units): 992.8
Density of states at the Fermi level (states/eV/cell): 8.1
Total magnetization (μB/f.u.): 0.84